A plane-wave DFT calculation with SCAN was carried out for a PBEsol-optimized structure of Li2Bi2B2O7.

```
data_Li2Bi2B2O7
_chemical_formula_sum 'Li8 Bi8 B8 O28'
_cell_length_a 6.566
_cell_length_b 10.019
_cell_length_c 10.447
_cell_angle_alpha 116.31
_cell_angle_beta 90.00
_cell_angle_gamma 90.00
_symmetry_space_group_name_H-M 'P 1'
_symmetry_Int_Tables_number 1
loop_
_symmetry_equiv_pos_as_xyz
'x,y,z'
loop_
_atom_site_label
_atom_site_type_symbol
_atom_site_fract_x
_atom_site_fract_y
_atom_site_fract_z
_atom_site_occupancy
B1 B 0.781 0.671 0.575 1
B2 B 0.219 0.329 0.425 1
B3 B 0.641 0.226 0.144 1
B4 B 0.281 0.329 0.925 1
B5 B 0.859 0.226 0.644 1
B6 B 0.719 0.671 0.075 1
B7 B 0.359 0.774 0.856 1
B8 B 0.141 0.774 0.356 1
Bi1 Bi 0.964 0.008 0.316 1
Bi2 Bi 0.464 0.992 0.184 1
Bi3 Bi 0.067 0.195 0.083 1
Bi4 Bi 0.036 0.992 0.684 1
Bi5 Bi 0.933 0.805 0.917 1
Bi6 Bi 0.433 0.195 0.583 1
Bi7 Bi 0.536 0.008 0.816 1
Bi8 Bi 0.567 0.805 0.417 1
O1 O 0.237 0.665 0.379 1
O2 O 0.077 0.373 0.355 1
O3 O 0.788 0.575 0.942 1
O4 O 0.377 0.977 0.599 1
O5 O 0.708 0.819 0.633 1
O6 O 0.792 0.819 0.133 1
O7 O 0.288 0.425 0.558 1
O8 O 0.923 0.627 0.645 1
O9 O 0.763 0.335 0.621 1
O10 O 0.740 0.155 0.215 1
O11 O 0.051 0.169 0.591 1
O12 O 0.623 0.023 0.401 1
O13 O 0.240 0.845 0.285 1
O14 O 0.212 0.425 0.058 1
O15 O 0.737 0.335 0.121 1
O16 O 0.263 0.665 0.879 1
O17 O 0.449 0.169 0.091 1
O18 O 0.551 0.831 0.909 1
O19 O 0.760 0.155 0.715 1
O20 O 0.208 0.181 0.867 1
O21 O 0.577 0.627 0.145 1
O22 O 0.292 0.181 0.367 1
O23 O 0.877 0.023 0.901 1
O24 O 0.712 0.575 0.442 1
O25 O 0.123 0.977 0.099 1
O26 O 0.949 0.831 0.409 1
O27 O 0.423 0.373 0.855 1
O28 O 0.260 0.845 0.785 1
Li1 Li 0.177 0.588 0.515 1
Li2 Li 0.323 0.588 0.015 1
Li3 Li 0.823 0.412 0.485 1
Li4 Li 0.677 0.412 0.985 1
Li5 Li 0.611 0.484 0.786 1
Li6 Li 0.111 0.516 0.714 1
Li7 Li 0.389 0.516 0.214 1
Li8 Li 0.889 0.484 0.286 1
```

Total magnetization   0.000 μB per atom
Uncorrected formation energy   -1.96 eV per atom
Space group   P2_1/c, No. 14